1.
This record from the Alexandria database describes a relaxed DyHo2Bi crystal. The functional is PBE.

Results
For the density of states at the Fermi level, the calculation gives 4.2 states/eV/f.u. The calculation puts the formation enthalpy at 0 K at 10 kJ/mol of formula units. As for the total energy: -4.384 eV per atom. The total magnetization is 0.000 μB per cell. The volume is 386.5 Å³/cell. Its distance to the lowest polymorph of the same formula is 439 meV/atom.

Lattice parameters (Å, degrees): 3.527 3.527 35.876 90.00 90.00 120.00
Sites, in units of the cell vectors:
Dy (0.000, 0.000, 0.000)
Dy (0.333, 0.667, 0.667)
Dy (0.667, 0.333, 0.333)
Ho (0.000, 0.000, 0.412)
Ho (0.000, 0.000, 0.588)
Ho (0.333, 0.667, 0.079)
Ho (0.333, 0.667, 0.254)
Ho (0.667, 0.333, 0.746)
Ho (0.667, 0.333, 0.921)
Bi (0.000, 0.000, 0.500)
Bi (0.333, 0.667, 0.167)
Bi (0.667, 0.333, 0.833)


2.
This record from the Alexandria database describes a relaxed KRe3 crystal. The functional is PBE.

Results
For the density of states at the Fermi level, the calculation gives 4.1 states/eV/f.u. The calculation puts the formation enthalpy at 0 K at 281 kJ/mol of formula units. As for the total energy: -8.883 eV per atom. The total magnetization is 0.003 μB per cell. The volume is 213.4 Å³/cell. Its distance to the lowest polymorph of the same formula is 0 meV/atom.

Lattice parameters (Å, degrees): 2.796 2.796 31.533 90.00 90.00 120.00
Sites, in units of the cell vectors:
K (0.000, 0.000, 0.000)
K (0.333, 0.667, 0.667)
K (0.667, 0.333, 0.333)
Re (0.000, 0.000, 0.236)
Re (0.000, 0.000, 0.500)
Re (0.000, 0.000, 0.764)
Re (0.333, 0.667, 0.167)
Re (0.333, 0.667, 0.430)
Re (0.333, 0.667, 0.903)
Re (0.667, 0.333, 0.097)
Re (0.667, 0.333, 0.570)
Re (0.667, 0.333, 0.833)


3.
This record from the Alexandria database describes a relaxed In3H2Br5 crystal. The functional is PBE.

Results
For the density of states at the Fermi level, the calculation gives 0.0 states/eV/f.u. As for the total energy: -2.840 eV per atom. The total magnetization is 0.000 μB per cell. The volume is 661.6 Å³/cell.

Lattice parameters (Å, degrees): 8.114 9.337 10.363 112.55 111.08 92.42
Sites, in units of the cell vectors:
In (0.153, 0.219, 0.298)
In (0.179, 0.768, 0.361)
In (0.306, 0.574, 0.869)
In (0.694, 0.426, 0.131)
In (0.821, 0.232, 0.639)
In (0.847, 0.781, 0.702)
H (0.125, 0.414, 0.778)
H (0.401, 0.751, 0.887)
H (0.599, 0.249, 0.113)
H (0.875, 0.586, 0.222)
Br (0.012, 0.241, 0.046)
Br (0.084, 0.936, 0.668)
Br (0.252, 0.505, 0.504)
Br (0.416, 0.077, 0.325)
Br (0.434, 0.611, 0.167)
Br (0.566, 0.389, 0.833)
Br (0.584, 0.923, 0.675)
Br (0.748, 0.495, 0.496)
Br (0.916, 0.064, 0.332)
Br (0.988, 0.759, 0.954)


4.
This record from the Alexandria database describes a relaxed Sc3GaSi2 crystal. The functional is PBE.

Results
For the density of states at the Fermi level, the calculation gives 3.6 states/eV/f.u. For the uncorrected formation energy, the calculation gives -0.655 eV/atom. As for the total energy: -6.132 eV per atom. The total magnetization is 0.000 μB per cell. The volume is 454.6 Å³/cell.

Lattice parameters (Å, degrees): 10.846 3.963 10.578 90.00 90.00 90.00
Sites, in units of the cell vectors:
Sc (0.049, 0.250, 0.120)
Sc (0.130, 0.750, 0.569)
Sc (0.202, 0.250, 0.806)
Sc (0.298, 0.750, 0.306)
Sc (0.370, 0.250, 0.069)
Sc (0.451, 0.750, 0.620)
Sc (0.549, 0.250, 0.380)
Sc (0.630, 0.750, 0.931)
Sc (0.702, 0.250, 0.694)
Sc (0.798, 0.750, 0.194)
Sc (0.870, 0.250, 0.431)
Sc (0.951, 0.750, 0.880)
Ga (0.135, 0.250, 0.369)
Ga (0.365, 0.750, 0.869)
Ga (0.635, 0.250, 0.131)
Ga (0.865, 0.750, 0.631)
Si (0.014, 0.750, 0.314)
Si (0.185, 0.750, 0.010)
Si (0.315, 0.250, 0.510)
Si (0.486, 0.250, 0.814)
Si (0.514, 0.750, 0.186)
Si (0.685, 0.750, 0.490)
Si (0.815, 0.250, 0.990)
Si (0.986, 0.250, 0.686)